(1)
A plane-wave DFT calculation with PBE-GGA was carried out for a relaxed CaAgF4 crystal.

Properties
SG: No. 88
Formation energy without anion corrections in meV per atom: -2466
Excess energy over the best structure of this formula in the dataset in kJ per mole of atoms: 7.36
DOS at the Fermi energy in states/eV/cell: 0.5
Theoretical density in Mg/m³: 4.27

Structure (POSCAR):
```
CaAgF4
1.0
5.802 0.000 0.000
0.000 5.802 0.000
-2.901 -2.901 5.176
F Ag Ca
8 2 2
Direct
0.128 0.290 0.893
0.397 0.872 0.107
0.765 0.603 0.893
0.622 0.960 0.607
0.353 0.378 0.393
0.710 0.235 0.107
0.040 0.015 0.393
0.985 0.647 0.607
0.500 0.500 0.000
0.250 0.750 0.500
0.000 0.000 0.000
0.750 0.250 0.500
```

---

(2)
A plane-wave DFT calculation with PBE-GGA was carried out for a relaxed LiCeSb2O8 crystal.

Properties
SG: No. 82
Formation energy without anion corrections in meV per atom: -1708
DOS at the Fermi energy in states/eV/cell: 8.0
Theoretical density in Mg/m³: 5.66

Structure (POSCAR):
```
LiCeSb2O8
1.0
5.301 0.000 0.000
0.000 5.301 0.000
-2.651 -2.651 5.418
O Li Sb Ce
8 1 2 1
Direct
0.648 0.209 0.816
0.348 0.904 0.314
0.168 0.607 0.816
0.096 0.035 0.686
0.965 0.410 0.314
0.791 0.832 0.184
0.393 0.352 0.184
0.590 0.652 0.686
0.750 0.250 0.500
0.250 0.750 0.500
0.500 0.500 0.000
0.000 0.000 0.000
```

---

(3)
A plane-wave DFT calculation with PBE-GGA was carried out for a relaxed ScRuW2 crystal.

Properties
DFT formation energy in kJ per mole of atoms: 23.00
SG: No. 65
Excess energy over the best structure of this formula in the dataset in kJ per mole of atoms: 27.97
DOS at the Fermi energy in states/eV/cell: 4.5
Theoretical density in Mg/m³: 12.88

Structure (POSCAR):
```
ScRuW2
1.0
5.239 -0.010 0.000
-2.640 4.526 0.000
0.000 0.000 2.796
Sc W Ru
1 2 1
Direct
0.000 0.500 0.500
0.500 0.500 0.000
0.000 0.000 0.000
0.500 0.000 0.500
```

---

(4)
A plane-wave DFT calculation with PBE-GGA was carried out for a relaxed Li2PmScAu4 crystal.

Properties
DFT formation energy in kJ per mole of atoms: -66.33
SG: No. 166
DOS at the Fermi energy in states/eV/cell: 3.5
Theoretical density in Mg/m³: 10.43

Structure (POSCAR):
```
Li2PmScAu4
1.0
-4.227 0.617 -1.743
-3.637 0.304 2.822
-1.567 8.797 0.806
Li Au Pm Sc
2 4 1 1
Direct
0.758 0.758 0.726
0.242 0.242 0.274
0.392 0.392 0.823
0.877 0.877 0.370
0.608 0.608 0.177
0.123 0.123 0.630
0.000 0.000 0.000
0.500 0.500 0.500
```

---

(5)
A plane-wave DFT calculation with PBE-GGA was carried out for a relaxed Pa2ReSn crystal.

Properties
DFT formation energy in kJ per mole of atoms: -6.64
SG: No. 123
Excess energy over the best structure of this formula in the dataset in kJ per mole of atoms: 16.70
DOS at the Fermi energy in states/eV/cell: 6.2
Theoretical density in Mg/m³: 14.64

Structure (POSCAR):
```
Pa2ReSn
1.0
4.421 0.000 0.000
0.000 4.437 0.000
0.000 0.000 4.437
Sn Re Pa
1 1 2
Direct
0.500 0.500 0.500
0.500 0.000 0.000
0.000 0.000 0.500
0.000 0.500 0.000
```

---

(6)
A plane-wave DFT calculation with PBE-GGA was carried out for a relaxed Tm4Bi2Pd crystal.

Properties
DFT formation energy in kJ per mole of atoms: -59.83
SG: No. 11
DOS at the Fermi energy in states/eV/cell: 6.3
Theoretical density in Mg/m³: 10.40

Structure (POSCAR):
```
Tm4Bi2Pd
1.0
6.809 0.000 -0.971
0.000 6.532 0.000
-3.807 0.000 9.158
Bi Pd Tm
4 2 8
Direct
0.296 0.250 0.476
0.674 0.750 0.118
0.326 0.250 0.882
0.704 0.750 0.524
0.010 0.750 0.049
0.990 0.250 0.951
0.863 0.250 0.560
0.633 0.991 0.791
0.137 0.750 0.440
0.367 0.491 0.209
0.633 0.509 0.791
0.165 0.750 0.836
0.835 0.250 0.164
0.367 0.009 0.209
```

---

(7)
A plane-wave DFT calculation with PBE-GGA was carried out for a relaxed Zr2W crystal.

Properties
DFT formation energy in kJ per mole of atoms: 18.67
SG: No. 140
Excess energy over the best structure of this formula in the dataset in kJ per mole of atoms: 10.14
DOS at the Fermi energy in states/eV/cell: 8.6
Theoretical density in Mg/m³: 9.41

Structure (POSCAR):
```
Zr2W
1.0
-3.424 3.424 2.757
3.424 -3.424 2.757
3.424 3.424 -2.757
Zr W
4 2
Direct
0.335 0.165 0.500
0.835 0.335 0.169
0.665 0.835 0.500
0.165 0.665 0.831
0.750 0.750 0.000
0.250 0.250 0.000
```

---

(8)
A plane-wave DFT calculation with PBE-GGA was carried out for a relaxed ReIOF2 crystal.

Properties
SG: No. 123
Formation energy without anion corrections in meV per atom: -630
Excess energy over the best structure of this formula in the dataset in kJ per mole of atoms: 0.00
DOS at the Fermi energy in states/eV/cell: 4.0
Theoretical density in Mg/m³: 8.12

Structure (POSCAR):
```
ReIOF2
1.0
-0.125 0.748 -4.381
-4.071 -1.779 -0.188
-1.525 3.422 0.628
Re I F O
1 1 2 1
Direct
0.000 0.000 0.000
0.500 0.500 0.500
0.500 0.000 0.000
0.000 0.500 0.000
0.000 0.000 0.500
```

---

(9)
A plane-wave DFT calculation with PBE-GGA was carried out for a relaxed Nd2DyRuN4 crystal.

Properties
SG: No. 63
Formation energy without anion corrections in meV per atom: -827
DOS at the Fermi energy in states/eV/cell: 3.0
Theoretical density in Mg/m³: 8.12

Structure (POSCAR):
```
Nd2DyRuN4
1.0
3.450 0.000 0.000
-1.725 5.941 0.000
0.000 0.000 12.126
Ru N Nd Dy
2 8 4 2
Direct
0.142 0.284 0.250
0.858 0.716 0.750
0.000 0.000 0.500
0.560 0.120 0.250
0.274 0.548 0.361
0.440 0.880 0.750
0.726 0.452 0.639
0.726 0.452 0.861
0.000 0.000 0.000
0.274 0.548 0.139
0.368 0.735 0.543
0.368 0.735 0.957
0.632 0.265 0.457
0.632 0.265 0.043
0.871 0.742 0.250
0.129 0.258 0.750
```

---

(10)
A plane-wave DFT calculation with PBE-GGA was carried out for a relaxed MoIr2Rh crystal.

Properties
DFT formation energy in kJ per mole of atoms: -21.85
SG: No. 62
Excess energy over the best structure of this formula in the dataset in kJ per mole of atoms: 1.78
DOS at the Fermi energy in states/eV/cell: 13.1
Theoretical density in Mg/m³: 16.49

Structure (POSCAR):
```
MoIr2Rh
1.0
-1.890 -0.820 -3.885
-2.136 -3.874 1.857
-8.748 6.232 2.940
Ir Rh Mo
8 4 4
Direct
0.750 0.918 0.936
0.750 0.418 0.564
0.750 0.417 0.810
0.750 0.917 0.690
0.250 0.583 0.190
0.250 0.582 0.436
0.250 0.083 0.310
0.250 0.082 0.064
0.750 0.915 0.438
0.250 0.585 0.938
0.250 0.085 0.562
0.750 0.415 0.062
0.250 0.580 0.683
0.750 0.420 0.317
0.750 0.920 0.183
0.250 0.080 0.817
```

---

(11)
A plane-wave DFT calculation with PBE-GGA was carried out for a relaxed RbFe2SiSe crystal.

Properties
SG: No. 123
Formation energy without anion corrections in meV per atom: 1052
DOS at the Fermi energy in states/eV/cell: 7.5
Theoretical density in Mg/m³: 4.27

Structure (POSCAR):
```
RbFe2SiSe
1.0
-4.385 -0.760 -0.031
0.962 -5.461 -2.233
0.256 -1.643 4.128
Fe Se Rb Si
2 1 1 1
Direct
0.500 0.000 0.000
0.000 0.000 0.500
0.000 0.000 0.000
0.000 0.500 0.000
0.500 0.500 0.500
```

---

(12)
A plane-wave DFT calculation with PBE-GGA was carried out for a relaxed NdMg2Ag crystal.

Properties
DFT formation energy in kJ per mole of atoms: -10.96
SG: No. 225
DOS at the Fermi energy in states/eV/cell: 2.1
Theoretical density in Mg/m³: 5.40

Structure (POSCAR):
```
NdMg2Ag
1.0
-1.514 -1.617 -4.568
1.480 -4.549 -1.701
-3.360 -3.789 -0.366
Nd Mg Ag
1 2 1
Direct
0.000 0.000 0.000
0.750 0.750 0.750
0.250 0.250 0.250
0.500 0.500 0.500
```

---

(13)
A plane-wave DFT calculation with PBE-GGA was carried out for a relaxed RbMg3Pt crystal.

Properties
DFT formation energy in kJ per mole of atoms: -30.14
SG: No. 221
Excess energy over the best structure of this formula in the dataset in kJ per mole of atoms: 0.00
DOS at the Fermi energy in states/eV/cell: 1.8
Theoretical density in Mg/m³: 4.11

Structure (POSCAR):
```
RbMg3Pt
1.0
-3.613 0.061 3.775
2.955 -3.206 2.880
2.350 4.126 2.182
Rb Mg Pt
1 3 1
Direct
0.500 0.500 0.500
0.000 0.500 0.000
0.500 0.000 0.000
0.000 0.000 0.500
0.000 0.000 0.000
```

---

(14)
A plane-wave DFT calculation with PBE-GGA was carried out for a relaxed SmAl2Ga4 crystal.

Properties
DFT formation energy in kJ per mole of atoms: 0.62
SG: No. 111
DOS at the Fermi energy in states/eV/cell: 3.1
Theoretical density in Mg/m³: 5.21

Structure (POSCAR):
```
SmAl2Ga4
1.0
3.986 0.000 0.000
0.000 3.986 0.000
0.000 0.000 9.696
Al Ga Sm
2 4 1
Direct
0.500 0.000 0.500
0.000 0.500 0.500
0.256 0.744 0.736
0.744 0.256 0.736
0.256 0.256 0.264
0.744 0.744 0.264
0.000 0.000 0.000
```

---

(15)
A plane-wave DFT calculation with PBE-GGA was carried out for a relaxed KTcPd crystal.

Properties
DFT formation energy in kJ per mole of atoms: 109.93
SG: No. 194
Excess energy over the best structure of this formula in the dataset in kJ per mole of atoms: 86.40
DOS at the Fermi energy in states/eV/cell: 6.9
Theoretical density in Mg/m³: 6.27

Structure (POSCAR):
```
KTcPd
1.0
4.428 -2.556 0.000
0.000 5.113 0.000
0.000 0.000 5.700
K Pd Tc
2 2 2
Direct
0.000 0.000 0.500
0.000 0.000 0.000
0.333 0.667 0.250
0.667 0.333 0.750
0.333 0.667 0.750
0.667 0.333 0.250
```

---

(16)
A plane-wave DFT calculation with PBE-GGA was carried out for a relaxed La5TmPb3 crystal.

Properties
DFT formation energy in kJ per mole of atoms: -42.14
SG: No. 193
DOS at the Fermi energy in states/eV/cell: 22.4
Theoretical density in Mg/m³: 8.38

Structure (POSCAR):
```
La5TmPb3
1.0
6.936 0.000 0.000
0.000 9.899 0.000
0.000 -4.950 8.573
La Pb Tm
10 6 2
Direct
0.750 0.682 0.682
0.750 0.318 0.000
0.250 0.000 0.682
0.250 0.318 0.318
0.000 0.667 0.333
0.250 0.682 0.000
0.500 0.667 0.333
0.750 0.000 0.318
0.000 0.333 0.667
0.500 0.333 0.667
0.250 0.655 0.655
0.250 0.345 0.000
0.750 0.345 0.345
0.750 0.655 0.000
0.250 0.000 0.345
0.750 0.000 0.655
0.000 0.000 0.000
0.500 0.000 0.000
```

---

(17)
A plane-wave DFT calculation with PBE-GGA was carried out for a relaxed Pm6Si2Te crystal.

Properties
SG: No. 71
Formation energy without anion corrections in meV per atom: -634
DOS at the Fermi energy in states/eV/cell: 17.2
Theoretical density in Mg/m³: 6.94

Structure (POSCAR):
```
Pm6Si2Te
1.0
-3.119 -2.022 -7.876
8.652 0.991 0.049
-1.342 -6.335 5.823
Pm Si Te
12 4 2
Direct
0.296 0.616 0.320
0.914 0.723 0.191
0.210 0.244 0.454
0.790 0.756 0.546
0.532 0.723 0.809
0.704 0.024 0.320
0.704 0.384 0.680
0.790 0.244 0.034
0.296 0.976 0.680
0.210 0.756 0.966
0.468 0.277 0.191
0.086 0.277 0.809
0.374 0.000 0.374
0.626 0.000 0.626
0.500 0.612 0.112
0.500 0.388 0.888
0.000 0.000 0.000
0.000 0.500 0.500
```

---

(18)
A plane-wave DFT calculation with PBE-GGA was carried out for a relaxed BPtSN2 crystal.

Properties
SG: No. 123
Formation energy without anion corrections in meV per atom: 1068
Excess energy over the best structure of this formula in the dataset in kJ per mole of atoms: 0.00
DOS at the Fermi energy in states/eV/cell: 3.1
Theoretical density in Mg/m³: 5.35

Structure (POSCAR):
```
BPtSN2
1.0
3.198 0.000 0.000
0.000 3.198 0.000
0.000 0.000 8.065
N S Pt B
2 1 1 1
Direct
0.500 0.000 0.000
0.000 0.500 0.000
0.000 0.000 0.500
0.500 0.500 0.500
0.000 0.000 0.000
```

---

(19)
A plane-wave DFT calculation with PBE-GGA was carried out for a relaxed Rb8Ag2Au crystal.

Properties
DFT formation energy in kJ per mole of atoms: -0.93
SG: No. 12
DOS at the Fermi energy in states/eV/cell: 6.8
Theoretical density in Mg/m³: 2.54

Structure (POSCAR):
```
Rb8Ag2Au
1.0
8.203 0.000 -3.907
0.048 9.741 0.102
-0.614 0.117 9.275
Rb Au Ag
8 1 2
Direct
0.213 0.257 0.928
0.291 0.602 0.581
0.716 0.257 0.928
0.709 0.398 0.419
0.798 0.883 0.595
0.202 0.117 0.405
0.284 0.743 0.072
0.787 0.743 0.072
0.000 0.000 0.000
0.086 0.458 0.173
0.914 0.542 0.827
```

---

(20)
A plane-wave DFT calculation with PBE-GGA was carried out for a relaxed Zr12CdSn6 crystal.

Properties
DFT formation energy in kJ per mole of atoms: -32.94
SG: No. 148
DOS at the Fermi energy in states/eV/cell: 19.1
Theoretical density in Mg/m³: 7.41

Structure (POSCAR):
```
Zr12CdSn6
1.0
-4.923 4.752 -4.829
6.398 -3.092 -4.431
-4.404 -6.178 3.545
Zr Sn Cd
12 6 1
Direct
0.795 0.674 0.531
0.900 0.820 0.268
0.326 0.469 0.205
0.732 0.100 0.180
0.674 0.531 0.795
0.268 0.900 0.820
0.820 0.268 0.900
0.180 0.732 0.100
0.205 0.326 0.469
0.469 0.205 0.326
0.100 0.180 0.732
0.531 0.795 0.674
0.420 0.636 0.930
0.930 0.420 0.636
0.636 0.930 0.420
0.070 0.580 0.364
0.580 0.364 0.070
0.364 0.070 0.580
0.000 0.000 0.000
```

---

(21)
A plane-wave DFT calculation with PBE-GGA was carried out for a relaxed BeAg2As crystal.

Properties
DFT formation energy in kJ per mole of atoms: 38.04
SG: No. 216
Excess energy over the best structure of this formula in the dataset in kJ per mole of atoms: 17.65
DOS at the Fermi energy in states/eV/cell: 1.6
Theoretical density in Mg/m³: 7.46

Structure (POSCAR):
```
BeAg2As
1.0
4.552 0.000 0.000
2.276 3.942 0.000
2.276 1.314 3.716
Be Ag As
1 2 1
Direct
0.750 0.750 0.750
0.000 0.000 0.000
0.250 0.250 0.250
0.500 0.500 0.500
```

---

(22)
A plane-wave DFT calculation with PBE-GGA was carried out for a relaxed PaMnSbOs crystal.

Properties
SG: No. 216
Formation energy without anion corrections in meV per atom: 85
DOS at the Fermi energy in states/eV/cell: 6.6
Theoretical density in Mg/m³: 13.11

Structure (POSCAR):
```
PaMnSbOs
1.0
4.749 0.000 0.000
2.375 4.113 0.000
2.375 1.371 3.878
Pa Mn Sb Os
1 1 1 1
Direct
0.500 0.500 0.500
0.750 0.750 0.750
0.000 0.000 0.000
0.250 0.250 0.250
```

---

(23)
A plane-wave DFT calculation with PBE-GGA was carried out for a relaxed Ac8GePt3Cl4 crystal.

Properties
SG: No. 166
Formation energy without anion corrections in meV per atom: -1341
DOS at the Fermi energy in states/eV/cell: 9.9
Theoretical density in Mg/m³: 8.08

Structure (POSCAR):
```
Ac8GePt3Cl4
1.0
-5.477 6.531 2.862
-2.757 -5.389 7.019
8.779 1.637 -1.056
Ac Pt Cl Ge
8 3 4 1
Direct
0.727 0.712 0.970
0.243 0.712 0.970
0.273 0.288 0.030
0.757 0.287 0.515
0.263 0.290 0.526
0.243 0.713 0.485
0.737 0.710 0.474
0.757 0.288 0.030
0.500 0.500 0.000
0.000 0.500 0.500
0.500 0.500 0.500
0.000 0.000 0.000
0.500 0.000 0.500
0.000 0.000 0.500
0.500 0.000 0.000
0.000 0.500 0.000
```